! Li2MoO4 PBE with a Hubbard U relaxed; values from VASP
&SYSTEM
  ibrav = 0, nat = 28, ntyp = 3
/
ATOMIC_SPECIES
Li 6.94 Li.upf
Mo 95.94 Mo.upf
O 16.00 O.upf
CELL_PARAMETERS angstrom
6.142 0.000 0.000
0.000 6.142 0.000
0.000 0.000 8.275
ATOMIC_POSITIONS crystal
Li 0.760 0.760 0.875
Li 0.240 0.760 0.125
Li 0.760 0.240 0.625
Li 0.240 0.240 0.375
Li 0.732 0.500 0.250
Li 0.500 0.268 0.000
Li 0.500 0.732 0.500
Li 0.268 0.500 0.750
Mo 0.000 0.713 0.500
Mo 0.287 0.000 0.750
Mo 0.713 0.000 0.250
Mo 0.000 0.287 0.000
O 0.230 0.984 0.521
O 0.770 0.984 0.479
O 0.016 0.230 0.771
O 0.770 0.016 0.021
O 0.231 0.470 0.005
O 0.530 0.231 0.255
O 0.470 0.769 0.755
O 0.231 0.530 0.495
O 0.769 0.470 0.995
O 0.769 0.530 0.505
O 0.470 0.231 0.745
O 0.530 0.769 0.245
O 0.984 0.230 0.229
O 0.230 0.016 0.979
O 0.984 0.770 0.271
O 0.016 0.770 0.729
! E above lowest polymorph: 0.0554 eV/atom
! raw total energy: -0.462 Ry/atom